## ZrGa2Cl8 (PBE-GGA)

Data for a relaxed ZrGa2Cl8 crystal.

Cell lengths 15.478, 7.277, 6.675 Å; angles 90.00, 91.19, 90.00 degrees
Space group C2/m (No. 12)
Unique sites:
1 Zr 0.000 0.000 0.000 (multiplicity 2)
2 Ga 0.150 0.000 0.434 (multiplicity 4)
3 Cl 0.068 0.226 0.240 (multiplicity 8)
4 Cl 0.138 0.000 0.804 (multiplicity 4)
5 Cl 0.210 0.500 0.626 (multiplicity 4)

Summary:
* calculated total energy: -3.873 eV/atom
* E_form (uncorrected): -27.74 kcal/mol of atoms